1.
Below is an optimized crystal structure of Er3Tl3GaSe8, with properties calculated at the GGA-PBE level.

Structure (POSCAR):
```
Er3Tl3GaSe8
1.0
7.074 -4.084 0.000
7.074 4.084 0.000
-4.708 0.000 7.655
Er Tl Ga Se
3 3 1 8
Direct
0.000 0.000 0.000
0.000 0.500 0.000
0.500 0.000 0.000
0.000 0.500 0.500
0.500 0.000 0.500
0.500 0.500 0.500
0.500 0.500 0.000
0.235 0.235 0.207
0.251 0.722 0.196
0.277 0.277 0.804
0.278 0.749 0.804
0.722 0.251 0.196
0.723 0.723 0.196
0.749 0.278 0.804
0.765 0.765 0.793
```

Computed properties:
The total magnetic moment is 0.00 μB/atom. The space group is C2/m (12). As for the formation energy (no corrections): -1111 meV per atom.

2.
Below is an optimized crystal structure of LiFeIr2, with properties calculated at the GGA-PBE level.

Structure (POSCAR):
```
LiFeIr2
1.0
2.688 0.000 0.000
0.000 2.688 0.000
0.000 0.000 7.383
Li Fe Ir
1 1 2
Direct
0.000 0.000 0.000
0.000 0.000 0.500
0.500 0.500 0.267
0.500 0.500 0.733
```

Computed properties:
The calculation puts the formation enthalpy at 0 K at -0.014 eV per atom. The total magnetic moment is 0.43 μB/atom. The space group is P4/mmm (123).

3.
Below is an optimized crystal structure of In5Pb6, with properties calculated at the GGA-PBE level.

Structure (POSCAR):
```
In5Pb6
1.0
2.935 -6.070 0.000
2.935 6.070 0.000
-0.714 0.000 9.368
In Pb
5 6
Direct
0.000 0.000 0.000
0.281 0.719 0.000
0.365 0.635 0.500
0.635 0.365 0.500
0.719 0.281 0.000
0.120 0.839 0.311
0.161 0.880 0.689
0.482 0.482 0.200
0.518 0.518 0.800
0.839 0.120 0.311
0.880 0.161 0.689
```

Computed properties:
The calculation puts the formation enthalpy at 0 K at 0.070 eV per atom. The total magnetic moment is 0.00 μB/atom. The space group is C2/m (12).

4.
Below is an optimized crystal structure of Pr2Zn4Ni, with properties calculated at the GGA-PBE level.

Structure (POSCAR):
```
Pr2Zn4Ni
1.0
-2.286 2.286 7.596
2.286 -2.286 7.596
2.286 2.286 -7.596
Pr Zn Ni
2 4 1
Direct
0.144 0.144 0.000
0.856 0.856 0.000
0.000 0.500 0.500
0.344 0.344 0.000
0.500 0.000 0.500
0.656 0.656 0.000
0.500 0.500 0.000
```

Computed properties:
The calculation puts the formation enthalpy at 0 K at -0.151 eV per atom. The total magnetic moment is 0.00 μB/atom. The space group is I4/mmm (139).

5.
Below is an optimized crystal structure of Mg5H3Ir, with properties calculated at the GGA-PBE level.

Structure (POSCAR):
```
Mg5H3Ir
1.0
4.836 0.000 0.000
0.000 5.549 0.000
-2.212 0.000 4.853
Mg H Ir
5 3 1
Direct
0.000 0.000 0.000
0.124 0.500 0.771
0.297 0.000 0.588
0.625 0.254 0.259
0.625 0.746 0.259
0.477 0.500 0.538
0.712 0.000 0.575
0.789 0.500 0.000
0.129 0.500 0.275
```

Computed properties:
For the energy above the most stable polymorph in this dataset, the calculation gives 0 meV per atom. The total magnetic moment is 0.00 μB/atom. The space group is Pm (6).

6.
Below is an optimized crystal structure of AcPm7Y4, with properties calculated at the GGA-PBE level.

Structure (POSCAR):
```
AcPm7Y4
1.0
6.166 -3.091 0.000
6.166 3.091 0.000
-6.133 0.000 11.198
Ac Pm Y
1 7 4
Direct
0.000 0.000 0.000
0.125 0.125 0.496
0.281 0.281 0.338
0.296 0.296 0.082
0.500 0.500 0.000
0.704 0.704 0.918
0.719 0.719 0.662
0.875 0.875 0.504
0.145 0.145 0.776
0.427 0.427 0.682
0.573 0.573 0.318
0.855 0.855 0.224
```

Computed properties:
For the energy above the most stable polymorph in this dataset, the calculation gives 259 meV per atom. The calculation puts the formation enthalpy at 0 K at 0.267 eV per atom. The total magnetic moment is 0.01 μB/atom. The space group is C2/m (12).

7.
Below is an optimized crystal structure of AgAuI2N, with properties calculated at the GGA-PBE level.

Structure (POSCAR):
```
AgAuI2N
1.0
6.001 0.000 0.000
0.000 6.001 0.000
0.000 0.000 3.814
Ag Au I N
1 1 2 1
Direct
0.000 0.000 0.000
0.500 0.500 0.500
0.000 0.500 0.500
0.500 0.000 0.500
0.500 0.500 0.000
```

Computed properties:
For the energy above the most stable polymorph in this dataset, the calculation gives 0 meV per atom. The total magnetic moment is 0.00 μB/atom. The space group is P4/mmm (123). As for the formation energy (no corrections): 840 meV per atom.

8.
Below is an optimized crystal structure of Tb3Mg5Ag2, with properties calculated at the GGA-PBE level.

Structure (POSCAR):
```
Tb3Mg5Ag2
1.0
-6.343 6.364 3.150
6.343 -6.364 3.150
6.343 6.364 -3.150
Tb Mg Ag
6 10 4
Direct
0.142 0.244 0.386
0.250 0.250 0.000
0.358 0.744 0.102
0.642 0.256 0.898
0.750 0.750 0.000
0.858 0.756 0.614
0.012 0.750 0.262
0.104 0.661 0.765
0.250 0.750 0.500
0.396 0.161 0.557
0.488 0.750 0.738
0.512 0.250 0.262
0.604 0.839 0.443
0.750 0.250 0.500
0.896 0.339 0.235
0.988 0.250 0.738
0.144 0.861 0.006
0.356 0.361 0.717
0.644 0.639 0.283
0.856 0.139 0.994
```

Computed properties:
For the energy above the most stable polymorph in this dataset, the calculation gives 148 meV per atom. The calculation puts the formation enthalpy at 0 K at -0.035 eV per atom. The total magnetic moment is 0.00 μB/atom. The space group is Ibam (72).

9.
Below is an optimized crystal structure of BaV3Sb, with properties calculated at the GGA-PBE level.

Structure (POSCAR):
```
BaV3Sb
1.0
4.975 0.000 0.000
0.000 4.975 0.000
0.000 0.000 4.975
Ba V Sb
1 3 1
Direct
0.000 0.000 0.000
0.000 0.000 0.500
0.000 0.500 0.000
0.500 0.000 0.000
0.500 0.500 0.500
```

Computed properties:
The total magnetic moment is 1.22 μB/atom. The space group is Pm-3m (221). As for the formation energy (no corrections): 2226 meV per atom.

10.
Below is an optimized crystal structure of Sm2TlIn, with properties calculated at the GGA-PBE level.

Structure (POSCAR):
```
Sm2TlIn
1.0
3.845 0.000 0.000
0.000 3.845 0.000
0.000 0.000 7.721
Sm Tl In
2 1 1
Direct
0.000 0.000 0.248
0.000 0.000 0.752
0.500 0.500 0.500
0.500 0.500 0.000
```

Computed properties:
The calculation puts the formation enthalpy at 0 K at -0.437 eV per atom. The total magnetic moment is 0.00 μB/atom. The space group is P4/mmm (123).

11.
Below is an optimized crystal structure of LaCdCl2, with properties calculated at the GGA-PBE level.

Structure (POSCAR):
```
LaCdCl2
1.0
3.531 -4.788 0.000
3.531 4.788 0.000
-1.948 0.000 3.230
La Cd Cl
1 1 2
Direct
0.000 0.000 0.000
0.500 0.500 0.000
0.000 0.500 0.000
0.500 0.000 0.000
```

Computed properties:
For the energy above the most stable polymorph in this dataset, the calculation gives 265 meV per atom. The total magnetic moment is 0.00 μB/atom. The space group is C2/m (12). As for the formation energy (no corrections): -1166 meV per atom.

12.
Below is an optimized crystal structure of MgVCu3, with properties calculated at the GGA-PBE level.

Structure (POSCAR):
```
MgVCu3
1.0
4.575 0.000 0.000
0.000 4.575 0.000
0.000 0.000 4.575
Mg V Cu
1 1 3
Direct
0.000 0.000 0.000
0.500 0.500 0.500
0.000 0.500 0.500
0.500 0.000 0.500
0.500 0.500 0.000
```

Computed properties:
For the energy above the most stable polymorph in this dataset, the calculation gives 0 meV per atom. The calculation puts the formation enthalpy at 0 K at 0.986 eV per atom. The total magnetic moment is 0.45 μB/atom. The space group is Pm-3m (221).

Which of these has the highest total magnetic moment? BaV3Sb

What is the total magnetic moment in the second record? 0.43 μB/atom

Which value of total magnetic moment does entry 6 give? 0.01 μB/atom